A relaxed CoIN2F crystal. Source: Alexandria, functional GGA+U.

Values from the calculation:
The energy above the most stable polymorph in this dataset comes out at 0.211 eV/atom. The calculated volume comes out at 78.40 Å³/cell.

Cell: 3.5693 3.5693 6.1537 Å, 90.00 90.00 90.00°
Last column: nearest neighbours and their distance in Å.
Space group P4/mmm (No. 123)
Symmetry-distinct sites (fractional):
1 Co 0.0000 0.0000 0.0000 x1  4 N 1.78
2 I 0.0000 0.0000 0.5000 x1  4 F 2.52
3 N 0.0000 0.5000 0.0000 x2  2 Co 1.78
4 F 0.5000 0.5000 0.5000 x1  4 I 2.52